# 1
A relaxed Sc2CuTc crystal. Source: OQMD via LeMat-Bulk, functional PBE-GGA.

a = 4.5792 Å, b = 4.5792 Å, c = 6.4536 Å
α = 90.00°, β = 90.00°, γ = 90.00°
Last column: nearest neighbours and their distance in Å.
Space group I4/mmm (No. 139)
Asymmetric unit:
Sc1 0.0000 0.5000 0.2500 [4 per cell]  4 Tc 2.80, 4 Cu 2.80
Cu1 0.0000 0.0000 0.0000 [2 per cell]  8 Sc 2.80
Tc1 0.0000 0.0000 0.5000 [2 per cell]  8 Sc 2.80

E = -0.5099 Ry per atom
Formation enthalpy at 0 K = -0.254 eV/atom

=====

# 2
A relaxed GdPtNO crystal. Source: OQMD via LeMat-Bulk, functional PBE-GGA.

a = 3.7152 Å, b = 6.2655 Å, c = 5.3796 Å
α = 90.00°, β = 90.00°, γ = 90.00°
Last column: nearest neighbours and their distance in Å.
Space group Pmc2_1 (No. 26)
Asymmetric unit:
Gd1 0.0000 0.2407 0.0000 [2 per cell]  2 O 2.17
Pt1 0.5000 0.3474 0.4819 [2 per cell]  2 N 1.86
N1 0.0000 0.3443 0.4747 [2 per cell]  2 Pt 1.86
O1 0.5000 0.0956 0.8805 [2 per cell]  2 Gd 2.17

Offset from the most stable computed form = 0.2264 eV per atom
E = -0.5210 Ry per atom